# Ce2YEr3As6

An optimized crystal structure of Ce2YEr3As6 (PBE, Alexandria via LeMat-Bulk).

Formation energy in eV/atom: -1.494
Total magnetization in μB/atom: 0.104

abc: 4.138 8.265 9.234
angles: 102.83 102.95 90.00
Sites, in units of the cell vectors:
Ce 0.834 0.668 0.669
Ce 0.166 0.332 0.331
Y 0.500 0.000 0.000
Er 0.500 0.500 0.000
Er 0.834 0.166 0.667
Er 0.166 0.834 0.333
As 0.333 0.921 0.666
As 0.665 0.587 0.331
As 0.667 0.079 0.334
As 0.999 0.251 0.997
As 0.001 0.749 0.003
As 0.335 0.413 0.669



# FeAg2As2

An optimized crystal structure of FeAg2As2 (PBE, Alexandria via LeMat-Bulk).

Formation energy in eV/atom: 0.115
Total magnetization in μB/atom: 0.222

abc: 6.071 6.071 4.799
angles: 90.00 90.00 90.00
Sites, in units of the cell vectors:
As 0.355 0.855 0.000
As 0.855 0.645 0.000
As 0.645 0.145 0.000
As 0.145 0.355 0.000
Fe 0.000 0.000 0.000
Fe 0.500 0.500 0.000
Ag 0.227 0.727 0.500
Ag 0.727 0.773 0.500
Ag 0.773 0.273 0.500
Ag 0.273 0.227 0.500



# ZnCd2Cl

An optimized crystal structure of ZnCd2Cl (PBE, Alexandria via LeMat-Bulk).

ΔE_f (raw) in eV per atom: -0.1405
ΔE to the lowest computed polymorph in eV per formula unit: 0.425
Total magnetization in μB/atom: 0.000

abc: 3.336 3.336 7.792
angles: 90.00 90.00 90.00
Sites, in units of the cell vectors:
Cd 0.000 0.000 0.980
Cd 0.500 0.500 0.247
Cl 0.000 0.000 0.515
Zn 0.500 0.500 0.758



# La2Pr2Cd3

An optimized crystal structure of La2Pr2Cd3 (PBE, Alexandria via LeMat-Bulk).

Formation energy in eV/atom: -0.176
Total magnetization in μB/atom: 0.001

abc: 5.439 5.424 9.358
angles: 89.90 107.40 119.79
Sites, in units of the cell vectors:
La 0.262 0.131 0.392
La 0.738 0.869 0.608
Pr 0.763 0.382 0.145
Pr 0.237 0.618 0.855
Cd 0.000 0.000 0.000
Cd 0.512 0.256 0.768
Cd 0.488 0.744 0.232



# Pa2SiRu

An optimized crystal structure of Pa2SiRu (PBE, Alexandria via LeMat-Bulk).

ΔE_f (raw) in eV per atom: 0.0914
ΔE to the lowest computed polymorph in eV per formula unit: 2.522
Total magnetization in μB/atom: 0.000

abc: 3.112 3.112 9.996
angles: 81.05 81.05 60.00
Sites, in units of the cell vectors:
Ru 0.000 0.000 0.000
Si 0.500 0.500 0.500
Pa 0.085 0.085 0.744
Pa 0.915 0.915 0.256



# Na2CdAsSe4

An optimized crystal structure of Na2CdAsSe4 (PBE, Alexandria via LeMat-Bulk).

ΔE_f (raw) in eV per atom: -0.5238
Total magnetization in μB/atom: 0.000

abc: 8.174 8.174 8.486
angles: 121.27 121.27 90.69
Sites, in units of the cell vectors:
Na 0.500 0.000 0.000
Na 0.500 0.000 0.500
Na 0.000 0.000 0.500
Na 0.500 0.500 0.000
Cd 0.000 0.500 0.000
Cd 0.000 0.500 0.500
As 0.500 0.500 0.500
As 0.000 0.000 0.000
Se 0.225 0.755 0.990
Se 0.745 0.275 0.510
Se 0.255 0.725 0.490
Se 0.775 0.245 0.010
Se 0.751 0.749 0.973
Se 0.751 0.749 0.527
Se 0.249 0.251 0.473
Se 0.249 0.251 0.027